{
  "formula": "Pm4InTe2As",
  "functional": "PBE",
  "state": "relaxed",
  "dft_energy_ev_per_atom": -5.285,
  "raw_formation_energy_ev_per_atom": -1.201,
  "cell": [[4.331, 0.000, 0.000], [0.000, 7.709, 0.189], [0.000, -2.640, 7.264]],
  "species": ["As", "Pm", "Te", "Pm", "Pm", "Te", "In", "Pm"],
  "fractional_positions": [[0.000, 0.000, 0.000], [0.000, 0.245, 0.759], [0.000, 0.500, 0.500], [0.500, 0.766, 0.773], [0.000, 0.755, 0.241], [0.500, 0.000, 0.500], [0.500, 0.500, 0.000], [0.500, 0.234, 0.227]]
}

{
  "formula": "Tb4MgZnRu2",
  "functional": "PBE",
  "state": "relaxed",
  "dft_energy_ev_per_atom": -5.262,
  "formation_enthalpy_0k_ev_per_atom": -0.269,
  "cell": [[-1.374, 0.967, 4.687], [-2.420, -3.454, 2.648], [5.873, -3.761, 5.142]],
  "species": ["Tb", "Ru", "Tb", "Tb", "Zn", "Tb", "Mg", "Ru"],
  "fractional_positions": [[0.378, 0.378, 0.866], [0.748, 0.748, 0.757], [0.873, 0.873, 0.382], [0.127, 0.127, 0.618], [0.500, 0.500, 0.500], [0.622, 0.622, 0.134], [0.000, 0.000, 0.000], [0.252, 0.252, 0.243]]
}